No. 1
Density functional theory data (GGA-PBE) for a geometry-optimized HfSc2TiN4 structure.

```
HfSc2TiN4
1.0
5.4375 0.0000 0.0000
0.0000 3.1498 0.0000
-1.8170 0.0000 5.1664
Hf Sc Ti N
1 2 1 4
Cartesian
0.0000 0.0000 0.0000 Hf
-0.9085 1.5749 2.5832 Sc
1.8102 0.0000 2.5832 Sc
2.7187 1.5749 0.0000 Ti
0.9249 1.5749 1.2551 N
0.0148 0.0000 3.9246 N
3.6056 0.0000 1.2418 N
2.6955 1.5749 3.9113 N
```

For the density of states at the Fermi level, the calculation gives 3.6 states/eV/cell. Its formation energy from raw total energies is -42.9 kcal/mol of atoms.



No. 2
Density functional theory data (GGA-PBE) for a geometry-optimized Hf4Sc3TiN8 structure.

```
Hf4Sc3TiN8
1.0
3.1840 1.8383 5.1808
-3.1840 1.8383 5.1808
0.0000 -3.6765 5.1808
Hf Sc Ti N
4 3 1 8
Cartesian
0.0000 0.0000 0.0000 Hf
-1.5920 -0.9191 5.1808 Hf
-1.5920 0.9191 10.3617 Hf
0.0000 1.8383 5.1808 Hf
-3.1839 0.0000 7.7713 Sc
-1.5920 0.9191 2.5904 Sc
1.5920 0.9191 2.5904 Sc
0.0000 0.0000 7.7713 Ti
0.0000 -1.8250 6.4652 N
-1.5805 0.9125 6.4652 N
0.0000 0.0000 3.9124 N
-1.5805 -0.9125 9.0773 N
1.5805 0.9125 6.4652 N
0.0000 0.0000 11.6301 N
1.5805 -0.9125 9.0773 N
0.0000 1.8250 9.0773 N
```

For the density of states at the Fermi level, the calculation gives 4.6 states/eV/cell. Its formation energy from raw total energies is -42.8 kcal/mol of atoms.



No. 3
Density functional theory data (GGA-PBE) for a geometry-optimized Hf2ScTlN structure.

```
Hf2ScTlN
1.0
4.4431 0.0000 0.0000
0.0000 4.4431 0.0000
0.0000 0.0000 4.5419
Hf Sc Tl N
2 1 1 1
Cartesian
0.0000 2.2216 0.0000 Hf
2.2216 0.0000 0.0000 Hf
0.0000 0.0000 2.2710 Sc
2.2216 2.2216 2.2710 Tl
0.0000 0.0000 0.0000 N
```

For the density of states at the Fermi level, the calculation gives 2.9 states/eV/cell. Its formation energy from raw total energies is -17.5 kcal/mol of atoms.



No. 4
Density functional theory data (GGA-PBE) for a geometry-optimized HfSc2TlN structure.

```
HfSc2TlN
1.0
4.4942 0.0000 0.0000
0.0000 4.4942 0.0000
0.0000 0.0000 4.4319
Hf Sc Tl N
1 2 1 1
Cartesian
0.0000 0.0000 0.0000 Hf
0.0000 2.2471 2.2159 Sc
2.2471 0.0000 2.2159 Sc
2.2471 2.2471 0.0000 Tl
0.0000 0.0000 2.2159 N
```

For the density of states at the Fermi level, the calculation gives 2.6 states/eV/cell. Its formation energy from raw total energies is -21.1 kcal/mol of atoms.



No. 5
Density functional theory data (GGA-PBE) for a geometry-optimized TmHfSc2N4 structure.

```
TmHfSc2N4
1.0
5.6043 0.0000 0.0000
0.0000 3.2475 0.0000
-1.8695 0.0000 5.3185
Tm Hf Sc N
1 1 2 4
Cartesian
0.0000 0.0000 0.0000 Tm
-0.9348 1.6237 2.6593 Hf
1.8674 0.0000 2.6593 Sc
2.8022 1.6237 0.0000 Sc
0.0046 0.0000 3.9376 N
0.9321 1.6237 1.3900 N
2.8027 1.6237 3.9285 N
3.7302 0.0000 1.3809 N
```

For the density of states at the Fermi level, the calculation gives 1.2 states/eV/cell. Its formation energy from raw total energies is -43.8 kcal/mol of atoms.



No. 6
Density functional theory data (GGA-PBE) for a geometry-optimized TmHf2Sc3N6 structure.

```
TmHf2Sc3N6
1.0
7.0331 -1.6163 0.0000
7.0331 1.6163 0.0000
-1.4599 0.0000 6.2987
Tm Hf Sc N
1 2 3 6
Cartesian
0.0000 0.0000 0.0000 Tm
3.7152 0.0000 4.1952 Hf
8.8911 0.0000 2.1035 Hf
-0.7300 0.0000 3.1493 Sc
4.4441 0.0000 1.0507 Sc
8.1622 0.0000 5.2480 Sc
1.5268 0.0000 3.6524 N
2.2608 0.0000 0.5806 N
5.9059 0.0000 4.6582 N
6.7004 0.0000 1.6404 N
10.3455 0.0000 5.7181 N
11.0795 0.0000 2.6463 N
```

For the density of states at the Fermi level, the calculation gives 2.8 states/eV/cell. Its formation energy from raw total energies is -43.8 kcal/mol of atoms.